The following is a DFT calculation (PBE) of a relaxed structure of TmThCoPd.

## Properties
Energy in eV per atom: -6.49
Relative energy among the computed polymorphs in eV/atom: 0.160
D(E_F) in states/eV/atom: 0.94
DFT formation energy in eV per atom: -0.4471

Lattice parameters (Å, degrees): 6.972 6.972 6.972 90.00 90.00 90.00
Space group F-43m (No. 216)
Unique sites:
Tm (0.000, 0.000, 0.000)
Th (0.000, 0.000, 0.500)
Co (0.250, 0.250, 0.750)
Pd (0.250, 0.250, 0.250)

The following is a DFT calculation (PBE) of a relaxed structure of TmThCoPd.

## Properties
Energy in eV per atom: -6.65
Relative energy among the computed polymorphs in eV/atom: 0.000
D(E_F) in states/eV/atom: 0.73
DFT formation energy in eV per atom: -0.6074

Lattice parameters (Å, degrees): 3.978 3.774 11.388 90.00 90.00 90.00
Space group Amm2 (No. 38)
Unique sites:
Tm (0.000, 0.000, 0.000)
Th (0.500, 0.000, 0.719)
Co (0.000, 0.000, 0.253)
Pd (0.500, 0.000, 0.435)

The following is a DFT calculation (PBE) of a relaxed structure of ThZnCoPd.

## Properties
Energy in eV per atom: -5.55
D(E_F) in states/eV/atom: 0.87
DFT formation energy in eV per atom: -0.3033

Lattice parameters (Å, degrees): 6.650 6.650 6.650 90.00 90.00 90.00
Space group F-43m (No. 216)
Unique sites:
Th (0.000, 0.000, 0.000)
Zn (0.000, 0.000, 0.500)
Co (0.250, 0.250, 0.250)
Pd (0.250, 0.250, 0.750)